The following is a DFT calculation (PBE) of crystalline VZnBH2 at its relaxed geometry.

Computed properties:
- total magnetization (μB/f.u.) = 0.655

Unit cell a=3.0850 b=6.0121 c=3.0850 alpha=90.00 beta=90.00 gamma=90.00
Last column: magnetic moment on the atom in μB.
Fractional positions:
H 0.0000 0.0000 0.5000  0.00
H 0.5000 0.0000 0.0000  0.00
Zn 0.0000 0.0000 0.0000  0.04
B 0.5000 0.5000 0.5000  -0.03
V 0.0000 0.5000 0.0000  0.51

***

The following is a DFT calculation (PBE) of crystalline B3HW at its relaxed geometry.

Computed properties:
- total magnetization (μB/f.u.) = 0.875
- excess energy over the best structure of this formula in the dataset (eV per formula unit) = 4.61

Unit cell a=4.2183 b=4.2183 c=4.2183 alpha=90.00 beta=90.00 gamma=90.00
Last column: magnetic moment on the atom in μB.
Fractional positions:
H 0.5000 0.5000 0.5000  0.34
B 0.0000 0.5000 0.0000  -0.01
B 0.0000 0.0000 0.5000  -0.01
B 0.5000 0.0000 0.0000  0.03
W 0.0000 0.0000 0.0000  0.07

***

The following is a DFT calculation (PBE) of crystalline B2H6W at its relaxed geometry.

Computed properties:
- total magnetization (μB/f.u.) = 0.000
- excess energy over the best structure of this formula in the dataset (eV per formula unit) = 0.00

Unit cell a=7.9508 b=7.2219 c=8.3716 alpha=22.75 beta=22.24 gamma=25.60
Fractional positions:
H 0.9333 0.5391 0.7658
H 0.7785 0.2155 0.3769
H 0.2215 0.7845 0.6231
H 0.0667 0.4609 0.2342
H 0.7046 0.0327 0.0426
H 0.2954 0.9673 0.9574
B 0.7127 0.9178 0.5764
B 0.2873 0.0822 0.4236
W 0.0000 0.0000 0.0000

***

The following is a DFT calculation (PBE) of crystalline B2HW4 at its relaxed geometry.

Computed properties:
- total magnetization (μB/f.u.) = 0.000

Unit cell a=3.6572 b=3.6572 c=6.6887 alpha=74.13 beta=74.13 gamma=90.00
Fractional positions:
H 0.0000 0.0000 0.0000
B 0.3601 0.3601 0.2798
B 0.6399 0.6399 0.7202
W 0.1777 0.1777 0.6447
W 0.8223 0.8223 0.3553
W 0.0000 0.5000 0.0000
W 0.5000 0.0000 0.0000

***

The following is a DFT calculation (PBE) of crystalline B2H6W at its relaxed geometry.

Computed properties:
- total magnetization (μB/f.u.) = 0.000
- excess energy over the best structure of this formula in the dataset (eV per formula unit) = 7.86

Unit cell a=4.2093 b=4.2093 c=4.2093 alpha=60.00 beta=60.00 gamma=60.00
Fractional positions:
B 0.7500 0.7500 0.7500
B 0.2500 0.2500 0.2500
H 0.2928 0.7071 0.7071
H 0.7071 0.7071 0.2928
H 0.7071 0.2928 0.7071
H 0.7071 0.2929 0.2928
H 0.2929 0.2928 0.7071
H 0.2929 0.7071 0.2928
W 0.0000 0.0000 0.0000

***

The following is a DFT calculation (PBE) of crystalline BHW3 at its relaxed geometry.

Computed properties:
- total magnetization (μB/f.u.) = 0.000
- excess energy over the best structure of this formula in the dataset (eV per formula unit) = 0.00

Unit cell a=3.8976 b=3.8976 c=3.8976 alpha=90.00 beta=90.00 gamma=90.00
Fractional positions:
H 0.0000 0.0000 0.0000
B 0.5000 0.5000 0.5000
W 0.0000 0.5000 0.0000
W 0.0000 0.0000 0.5000
W 0.5000 0.0000 0.0000

***

| no. | raw total energy (eV per atom) |
| --- | --- |
| 1 | -4.04 |
| 2 | -5.33 |
| 3 | -4.99 |
| 4 | -9.33 |
| 5 | -4.12 |
| 6 | -9.07 |